No. 1
DFT (GGA-PBE) results for a geometry-optimized HoEr12Tl6 structure.

```
19
Lattice="6.987 4.034 3.673 -6.987 4.034 3.673 0.000 -8.068 3.673" Properties=species:S:1:pos:R:3 pbc="T T T"
Ho 0.000 0.000 0.000
Er -2.574 -4.459 5.510
Er -5.148 0.000 5.510
Er -1.847 -1.066 3.948
Er 1.847 -1.066 3.948
Er 0.000 2.133 3.948
Er 2.574 -4.459 5.510
Er -2.574 4.459 5.510
Er 0.000 -2.133 7.071
Er -1.847 1.066 7.071
Er 1.847 1.066 7.071
Er 5.148 0.000 5.510
Er 2.574 4.459 5.510
Tl 0.000 -3.632 4.264
Tl -3.145 1.816 4.264
Tl -3.145 -1.816 6.755
Tl 3.145 1.816 4.264
Tl 3.145 -1.816 6.755
Tl 0.000 3.632 6.755
```

DFT total energy in hartree per atom: -0.141
Crystal system: trigonal
SG: R-3m (166)



No. 2
DFT (GGA-PBE) results for a geometry-optimized HoEr3Tl structure.

```
10
Lattice="2.388 -12.592 0.000 2.388 12.592 0.000 0.000 0.000 4.758" Properties=species:S:1:pos:R:3 pbc="T T T"
Ho 2.388 8.830 3.569
Ho 2.388 -8.830 1.190
Er 2.388 11.392 1.190
Er 2.388 6.275 1.190
Er 2.388 1.302 1.190
Er 2.388 -1.302 3.569
Er 2.388 -6.275 3.569
Er 2.388 -11.392 3.569
Tl 2.388 3.815 3.569
Tl 2.388 -3.815 1.190
```

DFT total energy in hartree per atom: -0.156
Crystal system: orthorhombic
SG: Cmcm (63)
Energy above the most stable polymorph in this dataset in meV per atom: 0.0



No. 3
DFT (GGA-PBE) results for a geometry-optimized Ho4Er2Tl structure.

```
14
Lattice="5.596 0.000 0.000 0.000 6.724 0.000 -2.561 0.000 11.289" Properties=species:S:1:pos:R:3 pbc="T T T"
Ho 0.271 1.681 1.632
Ho 0.184 5.043 4.656
Ho 0.069 3.431 7.972
Ho 0.069 6.655 7.972
Ho 2.966 0.069 3.317
Ho 2.966 3.293 3.317
Ho 2.851 1.681 6.633
Ho 2.764 5.043 9.657
Er 0.081 1.681 4.947
Er 2.484 5.043 0.237
Er 0.551 1.681 11.052
Er 2.954 5.043 6.342
Tl -0.291 5.043 1.588
Tl 3.326 1.681 9.701
```

DFT total energy in hartree per atom: -0.156
Crystal system: monoclinic
SG: P2_1/m (11)



No. 4
DFT (GGA-PBE) results for a geometry-optimized Ho6ErTl2 structure.

```
9
Lattice="6.349 -1.859 0.000 6.349 1.859 0.000 -3.683 0.000 11.300" Properties=species:S:1:pos:R:3 pbc="T T T"
Ho -1.083 0.000 3.898
Ho 2.413 0.000 4.688
Ho 3.562 0.000 1.397
Ho 5.454 0.000 9.903
Ho 6.603 0.000 6.613
Ho 10.099 0.000 7.403
Er 0.000 0.000 0.000
Tl 1.635 0.000 8.994
Tl 7.381 0.000 2.307
```

DFT total energy in hartree per atom: -0.155
Crystal system: monoclinic
SG: C2/m (12)
Energy above the most stable polymorph in this dataset in meV per atom: 0.0



No. 5
DFT (GGA-PBE) results for a geometry-optimized Ho4ErTl5 structure.

```
10
Lattice="3.740 0.000 0.000 0.000 3.740 0.000 0.000 0.000 19.295" Properties=species:S:1:pos:R:3 pbc="T T T"
Ho 0.000 0.000 1.933
Ho 0.000 0.000 5.800
Ho 0.000 0.000 13.495
Ho 0.000 0.000 17.362
Er 0.000 0.000 9.648
Tl 1.870 1.870 0.000
Tl 1.870 1.870 3.867
Tl 1.870 1.870 7.734
Tl 1.870 1.870 11.562
Tl 1.870 1.870 15.428
```

DFT total energy in hartree per atom: -0.139
Crystal system: tetragonal
SG: P4/mmm (123)



No. 6
DFT (GGA-PBE) results for a geometry-optimized Ho5Er3Tl structure.

```
18
Lattice="5.977 -5.649 0.000 5.977 5.649 0.000 -3.338 0.000 9.482" Properties=species:S:1:pos:R:3 pbc="T T T"
Ho 3.101 2.934 2.007
Ho 5.977 3.022 0.000
Ho 2.659 0.000 0.553
Ho 1.611 0.000 3.870
Ho 5.514 2.934 7.475
Ho 3.101 -2.934 2.007
Ho 7.004 0.000 5.612
Ho 5.957 0.000 8.929
Ho 5.977 -3.022 0.000
Ho 5.514 -2.934 7.475
Er -1.669 0.000 4.741
Er -2.719 0.000 7.743
Er 4.829 0.000 3.118
Er 5.977 0.000 0.000
Er 3.787 0.000 6.364
Er 11.335 0.000 1.739
Tl 0.775 0.000 6.942
Tl 7.840 0.000 2.540
```

DFT total energy in hartree per atom: -0.144
Crystal system: monoclinic
SG: C2/m (12)



| no. | density (g/cm3) |
| --- | --- |
| 1 | 9.08 |
| 2 | 10.11 |
| 3 | 9.37 |
| 4 | 9.75 |
| 5 | 11.37 |
| 6 | 7.94 |